1.
Compound: YZr2Al
Source: the Alexandria database
Functional: PBE-GGA
Structure: relaxed

## Properties
total magnetic moment	0.00	μB/atom
electronic total energy	-27.68	eV per cell
DOS(E_F)	4.96	states/eV/cell
E_form	-2.194	kcal/mol of atoms

```
data_YZr2Al
_cell_length_a 5.986
_cell_length_b 5.986
_cell_length_c 5.509
_cell_angle_alpha 64.52
_cell_angle_beta 64.52
_cell_angle_gamma 31.91
_space_group_name_H-M_alt 'P 1'
_space_group_IT_number 1
loop_
_space_group_symop_operation_xyz
'x,y,z'
loop_
_atom_site_label
_atom_site_fract_x
_atom_site_fract_y
_atom_site_fract_z
_atom_site_occupancy
Al1 0.489 0.489 0.418 1
Zr1 0.769 0.769 0.803 1
Y1 0.234 0.234 0.334 1
Zr2 0.008 0.008 0.945 1
```

2.
Compound: Y3ZrAl8
Source: the Alexandria database
Functional: PBE-GGA
Structure: relaxed

## Properties
total magnetic moment	0.00	μB/atom
electronic total energy	-63.98	eV per cell
DOS(E_F)	7.15	states/eV/cell
E_form	-11.714	kcal/mol of atoms

```
data_Y3ZrAl8
_cell_length_a 5.473
_cell_length_b 5.473
_cell_length_c 9.105
_cell_angle_alpha 90.00
_cell_angle_beta 90.00
_cell_angle_gamma 120.00
_space_group_name_H-M_alt 'P 1'
_space_group_IT_number 1
loop_
_space_group_symop_operation_xyz
'x,y,z'
loop_
_atom_site_label
_atom_site_fract_x
_atom_site_fract_y
_atom_site_fract_z
_atom_site_occupancy
Y1 0.667 0.333 0.436 1
Zr1 0.000 0.000 0.568 1
Al1 0.504 0.496 0.744 1
Al2 0.504 0.007 0.744 1
Al3 0.162 0.325 0.256 1
Al4 0.993 0.496 0.744 1
Al5 0.333 0.667 0.500 1
Al6 0.675 0.838 0.256 1
Y2 0.000 0.000 0.930 1
Al7 0.333 0.667 0.999 1
Al8 0.162 0.838 0.256 1
Y3 0.667 0.333 0.068 1
```

3.
Compound: YZrAl
Source: the Alexandria database
Functional: PBE-GGA
Structure: relaxed

## Properties
total magnetic moment	0.22	μB/atom
electronic total energy	-19.29	eV per cell
DOS(E_F)	3.78	states/eV/cell
E_form	-4.117	kcal/mol of atoms

```
data_YZrAl
_cell_length_a 5.802
_cell_length_b 5.802
_cell_length_c 5.802
_cell_angle_alpha 146.90
_cell_angle_beta 138.70
_cell_angle_gamma 53.92
_space_group_name_H-M_alt 'P 1'
_space_group_IT_number 1
loop_
_space_group_symop_operation_xyz
'x,y,z'
loop_
_atom_site_label
_atom_site_fract_x
_atom_site_fract_y
_atom_site_fract_z
_atom_site_occupancy
Y1 0.660 0.660 0.000 1
Al1 0.988 0.988 0.000 1
Zr1 0.353 0.353 0.000 1
```

4.
Compound: YZr2Al
Source: the Alexandria database
Functional: PBE-GGA
Structure: relaxed

## Properties
total magnetic moment	0.00	μB/atom
electronic total energy	-52.66	eV per cell
DOS(E_F)	12.99	states/eV/cell
E_form	5.598	kcal/mol of atoms

```
data_YZr2Al
_cell_length_a 8.147
_cell_length_b 8.147
_cell_length_c 6.472
_cell_angle_alpha 51.00
_cell_angle_beta 51.00
_cell_angle_gamma 90.00
_space_group_name_H-M_alt 'P 1'
_space_group_IT_number 1
loop_
_space_group_symop_operation_xyz
'x,y,z'
loop_
_atom_site_label
_atom_site_fract_x
_atom_site_fract_y
_atom_site_fract_z
_atom_site_occupancy
Y1 0.000 0.000 0.000 1
Y2 0.750 0.250 0.500 1
Al1 0.250 0.750 0.500 1
Zr1 0.592 0.125 0.250 1
Zr2 0.875 0.842 0.750 1
Zr3 0.158 0.625 0.250 1
Al2 0.500 0.500 0.000 1
Zr4 0.375 0.408 0.750 1
```

Question: Among the records above, which one has the highest E_form?
Answer: number 4

Question: What is the formula in the first record?
Answer: YZr2Al

Question: The highest DOS(E_F) belongs to which entry?
Answer: number 4

Question: Which formula does entry 4 have?
Answer: YZr2Al